Entry one
Below is a geometry-optimized Nd2Sn3Pd5 structure, with properties calculated at the PBE level.

Values from the calculation:
Space-group type: Cmc2_1
Total moment in Bohr magnetons per cell: 0.000

Unit cell a=4.5324 b=7.2068 c=12.9817 alpha=90.00 beta=100.05 gamma=90.00
Fractional coordinates of all 20 atoms:
Pd: 0.6989 0.3872 0.3978
Pd: 0.0429 0.5674 0.0857
Pd: 0.1168 0.2820 0.2337
Pd: 0.6188 0.9882 0.2375
Pd: 0.8832 0.7820 0.7663
Pd: 0.3812 0.4882 0.7625
Pd: 0.3011 0.8872 0.6022
Pd: 0.9571 0.0674 0.9143
Pd: 0.2716 0.4717 0.5431
Pd: 0.7284 0.9717 0.4569
Nd: 0.8194 0.2207 0.6388
Nd: 0.5206 0.2558 0.0412
Nd: 0.4794 0.7558 0.9588
Nd: 0.1806 0.7207 0.3612
Sn: 0.2144 0.1644 0.4288
Sn: 0.7856 0.6644 0.5712
Sn: 0.0613 0.9499 0.1225
Sn: 0.9387 0.4499 0.8775
Sn: 0.6043 0.5775 0.2086
Sn: 0.3957 0.0775 0.7914

---

Entry two
Below is a geometry-optimized Nd2Sn3Pd5 structure, with properties calculated at the PBE level.

Values from the calculation:
Space-group type: Ibam
Total moment in Bohr magnetons per cell: 0.000

Unit cell a=6.2096 b=8.9404 c=8.9404 alpha=81.68 beta=69.68 gamma=69.68
Fractional coordinates of all 20 atoms:
Pd: 0.7500 0.5000 0.5000
Pd: 0.0230 0.2270 0.2270
Pd: 0.5230 0.2270 0.2270
Pd: 0.6067 0.7321 0.0545
Pd: 0.1067 0.0545 0.7321
Pd: 0.2500 0.5000 0.5000
Pd: 0.4770 0.7730 0.7730
Pd: 0.8933 0.9455 0.2679
Pd: 0.9770 0.7730 0.7730
Pd: 0.3933 0.2679 0.9455
Nd: 0.3725 0.8544 0.4006
Nd: 0.6275 0.1456 0.5994
Nd: 0.8725 0.4006 0.8544
Nd: 0.1275 0.5994 0.1456
Sn: 0.6384 0.4801 0.2431
Sn: 0.2500 0.0000 0.0000
Sn: 0.7500 0.0000 0.0000
Sn: 0.8616 0.7569 0.5199
Sn: 0.1384 0.2431 0.4801
Sn: 0.3616 0.5199 0.7569

---

Decreasing stability: entry one, entry two

---

Entry one
Below is a geometry-optimized SrNdPd2 structure, with properties calculated at the PBE level.

Values from the calculation:
Space-group type: P4/mmm
Total moment in Bohr magnetons per cell: 0.000

Unit cell a=3.6788 b=3.6788 c=7.4203 alpha=90.00 beta=90.00 gamma=90.00
Fractional coordinates of all 4 atoms:
Nd: 0.5000 0.5000 0.0000
Pd: 0.0000 0.0000 0.2162
Pd: 0.0000 0.0000 0.7838
Sr: 0.5000 0.5000 0.5000

---

Entry two
Below is a geometry-optimized SrNdPd2 structure, with properties calculated at the PBE level.

Values from the calculation:
Space-group type: R3m
Total moment in Bohr magnetons per cell: 0.000

Unit cell a=4.1678 b=4.1678 c=7.8891 alpha=74.68 beta=74.68 gamma=60.00
Fractional coordinates of all 4 atoms:
Nd: 0.6685 0.6685 0.9944
Pd: 0.2573 0.2573 0.2281
Pd: 0.0774 0.0774 0.7679
Sr: 0.4968 0.4968 0.5096

---

Entry three
Below is a geometry-optimized SrNdPd2 structure, with properties calculated at the PBE level.

Values from the calculation:
Space-group type: Fm-3m
Total moment in Bohr magnetons per cell: 0.000

Unit cell a=5.1812 b=5.1812 c=5.1812 alpha=60.00 beta=60.00 gamma=60.00
Fractional coordinates of all 4 atoms:
Pd: 0.7500 0.7500 0.7500
Pd: 0.2500 0.2500 0.2500
Nd: 0.0000 0.0000 0.0000
Sr: 0.5000 0.5000 0.5000

---

Entry four
Below is a geometry-optimized SrNdPd2 structure, with properties calculated at the PBE level.

Values from the calculation:
Space-group type: R-3m
Total moment in Bohr magnetons per cell: 0.000

Unit cell a=4.2617 b=4.2617 c=7.5871 alpha=73.69 beta=73.69 gamma=60.00
Fractional coordinates of all 4 atoms:
Sr: 0.0000 0.0000 0.0000
Pd: 0.2421 0.2421 0.2737
Pd: 0.7579 0.7579 0.7263
Nd: 0.5000 0.5000 0.5000

---

Decreasing stability: entry one, entry three, entry four, entry two

---

Entry one
Below is a geometry-optimized SrNdPd structure, with properties calculated at the PBE level.

Values from the calculation:
Space-group type: Immm
Total moment in Bohr magnetons per cell: 0.000

Unit cell a=4.0955 b=6.9772 c=7.8727 alpha=116.30 beta=105.08 gamma=90.00
Fractional coordinates of all 6 atoms:
Pd: 0.8661 0.3661 0.7323
Pd: 0.1339 0.6339 0.2677
Nd: 0.2232 0.2232 0.4464
Nd: 0.7768 0.7768 0.5536
Sr: 0.5000 0.2572 0.0000
Sr: 0.5000 0.7428 0.0000

---

Entry two
Below is a geometry-optimized SrNdPd structure, with properties calculated at the PBE level.

Values from the calculation:
Space-group type: Pm
Total moment in Bohr magnetons per cell: 0.000

Unit cell a=3.9268 b=7.2725 c=7.3005 alpha=75.89 beta=89.98 gamma=90.00
Fractional coordinates of all 6 atoms:
Pd: 0.1235 0.6858 0.7552
Pd: 0.1236 0.2456 0.7590
Sr: 0.1236 0.8849 0.1104
Sr: 0.6234 0.3938 0.0433
Nd: 0.6237 0.9986 0.6148
Nd: 0.6238 0.5185 0.5351

---

Decreasing stability: entry two, entry one